## Li2ThWO6 (PBE with a Hubbard U)

Data for an optimized crystal structure of Li2ThWO6.

The electronic total energy comes out at -73.80 eV/f.u. The total magnetization comes out at 0.00 μB/f.u. The value obtained for the volume is 255.2 Å³ per cell.

The space group is P2_1/c (No. 14) and the conventional cell measures 5.432, 5.836 and 9.710 Å, with angles of 90.00, 123.97 and 90.00 degrees. The asymmetric unit holds Li at (0.249, 0.041, 0.254), Th at (0.500, 0.000, 0.000), W at (0.000, 0.000, 0.500), O at (0.093, 0.533, 0.226), O at (0.215, 0.208, 0.064) and O at (0.365, 0.664, 0.067).